{"formula": "La3TlSn3", "functional": "PBE", "state": "optimized geometry", "spacegroup": "P6_3/m", "e_form_mev_per_atom": -458.5, "total_magnetization_mub_per_fu": 0.0, "lattice_angstrom": [[9.5769, 0.0000, 0.0000], [-4.7885, 8.2939, 0.0000], [0.0000, 0.0000, 6.5715]], "species": ["La", "La", "La", "La", "La", "La", "Tl", "Tl", "Sn", "Sn", "Sn", "Sn", "Sn", "Sn"], "fractional_positions": [[0.0534, 0.3676, 0.2500], [0.3142, 0.9466, 0.2500], [0.3676, 0.3142, 0.7500], [0.6324, 0.6858, 0.2500], [0.6858, 0.0534, 0.7500], [0.9466, 0.6324, 0.7500], [0.3333, 0.6667, 0.7500], [0.6667, 0.3333, 0.2500], [0.0452, 0.3470, 0.7500], [0.3018, 0.9548, 0.7500], [0.3470, 0.3018, 0.2500], [0.6530, 0.6982, 0.7500], [0.6982, 0.0452, 0.2500], [0.9548, 0.6530, 0.2500]]}



{"formula": "La2Tl3Sn", "functional": "PBE", "state": "optimized geometry", "spacegroup": "Pmm2", "e_form_mev_per_atom": -371.5, "total_magnetization_mub_per_fu": 0.0, "lattice_angstrom": [[3.6948, 0.0000, 0.0000], [0.0000, 5.2788, 0.0000], [0.0000, 0.0000, 9.1430]], "species": ["La", "La", "Tl", "Tl", "Tl", "Sn"], "fractional_positions": [[0.0000, 0.0000, 0.0000], [0.0000, 0.5000, 0.4897], [0.5000, 0.0000, 0.6617], [0.5000, 0.5000, 0.1592], [0.5000, 0.5000, 0.8260], [0.5000, 0.0000, 0.3286]]}



{"formula": "LaTl3Sn", "functional": "PBE", "state": "optimized geometry", "spacegroup": "Pm-3m", "e_form_mev_per_atom": 607.5, "e_above_lowest_polymorph_mev_per_atom": 319, "total_magnetization_mub_per_fu": 0.0, "lattice_angstrom": [[6.0590, 0.0000, 0.0000], [0.0000, 6.0590, 0.0000], [0.0000, 0.0000, 6.0590]], "species": ["La", "Tl", "Tl", "Tl", "Sn"], "fractional_positions": [[0.0000, 0.0000, 0.0000], [0.0000, 0.0000, 0.5000], [0.0000, 0.5000, 0.0000], [0.5000, 0.0000, 0.0000], [0.5000, 0.5000, 0.5000]]}



{"formula": "La12Tl2Sn5", "functional": "PBE", "state": "optimized geometry", "spacegroup": "C2/m", "e_form_mev_per_atom": -378.9, "total_magnetization_mub_per_fu": 1.7, "lattice_angstrom": [[8.8735, -3.7668, 0.0000], [8.8735, 3.7668, 0.0000], [-2.2384, 0.0000, 10.5211]], "species": ["La", "La", "La", "La", "La", "La", "La", "La", "La", "La", "La", "La", "Tl", "Tl", "Sn", "Sn", "Sn", "Sn", "Sn"], "fractional_positions": [[0.0158, 0.0158, 0.2306], [0.0551, 0.5788, 0.9214], [0.0844, 0.6295, 0.4614], [0.3705, 0.9156, 0.5386], [0.4010, 0.4010, 0.2112], [0.4212, 0.9449, 0.0786], [0.5788, 0.0551, 0.9214], [0.5990, 0.5990, 0.7888], [0.6295, 0.0844, 0.4614], [0.9156, 0.3705, 0.5386], [0.9449, 0.4212, 0.0786], [0.9842, 0.9842, 0.7694], [0.2985, 0.7015, 0.0000], [0.7015, 0.2985, 0.0000], [0.1677, 0.1677, 0.8031], [0.2190, 0.2190, 0.3344], [0.5000, 0.5000, 0.5000], [0.7810, 0.7810, 0.6656], [0.8323, 0.8323, 0.1969]]}



{"formula": "La5Tl4Sn", "functional": "PBE", "state": "optimized geometry", "spacegroup": "P4/mmm", "e_form_mev_per_atom": -481.7, "total_magnetization_mub_per_fu": 0.0, "lattice_angstrom": [[3.9377, 0.0000, 0.0000], [0.0000, 3.9377, 0.0000], [0.0000, 0.0000, 20.2739]], "species": ["La", "La", "La", "La", "La", "Tl", "Tl", "Tl", "Tl", "Sn"], "fractional_positions": [[0.0000, 0.0000, 0.0000], [0.0000, 0.0000, 0.2000], [0.0000, 0.0000, 0.4015], [0.0000, 0.0000, 0.5985], [0.0000, 0.0000, 0.8000], [0.5000, 0.5000, 0.0991], [0.5000, 0.5000, 0.2969], [0.5000, 0.5000, 0.7031], [0.5000, 0.5000, 0.9009], [0.5000, 0.5000, 0.5000]]}



{"formula": "La3Tl2Sn", "functional": "PBE", "state": "optimized geometry", "spacegroup": "P4/mmm", "e_form_mev_per_atom": -525.8, "e_above_lowest_polymorph_mev_per_atom": 15, "total_magnetization_mub_per_fu": 0.0, "lattice_angstrom": [[3.6826, 0.0000, 0.0000], [0.0000, 3.6826, 0.0000], [0.0000, 0.0000, 13.6314]], "species": ["La", "La", "La", "Tl", "Tl", "Sn"], "fractional_positions": [[0.0000, 0.0000, 0.0000], [0.0000, 0.0000, 0.3363], [0.0000, 0.0000, 0.6637], [0.5000, 0.5000, 0.1670], [0.5000, 0.5000, 0.8330], [0.5000, 0.5000, 0.5000]]}



{"formula": "La8TlSn2", "functional": "PBE", "state": "optimized geometry", "spacegroup": "Immm", "e_form_mev_per_atom": -354.2, "e_above_lowest_polymorph_mev_per_atom": 0, "total_magnetization_mub_per_fu": 0.0, "lattice_angstrom": [[-2.7147, 3.8237, 8.7039], [2.7147, -3.8237, 8.7039], [2.7147, 3.8237, -8.7039]], "species": ["La", "La", "La", "La", "La", "La", "La", "La", "Tl", "Sn", "Sn"], "fractional_positions": [[0.1234, 0.3546, 0.7689], [0.1900, 0.1900, 0.0000], [0.2962, 0.0000, 0.2962], [0.4143, 0.6454, 0.7689], [0.5857, 0.3546, 0.2311], [0.7038, 0.0000, 0.7038], [0.8100, 0.8100, 0.0000], [0.8766, 0.6454, 0.2311], [0.0000, 0.5000, 0.5000], [0.3102, 0.8102, 0.5000], [0.6898, 0.1898, 0.5000]]}



{"formula": "La7Tl2Sn2", "functional": "PBE", "state": "optimized geometry", "spacegroup": "C2/m", "e_form_mev_per_atom": -282.9, "total_magnetization_mub_per_fu": 0.0, "lattice_angstrom": [[5.9117, -4.3819, 0.0000], [5.9117, 4.3819, 0.0000], [-0.0087, 0.0000, 7.6371]], "species": ["La", "La", "La", "La", "La", "La", "La", "Tl", "Tl", "Sn", "Sn"], "fractional_positions": [[0.0000, 0.0000, 0.0000], [0.9998, 0.4997, 0.2990], [0.0002, 0.5003, 0.7010], [0.4997, 0.9998, 0.2990], [0.5003, 0.0002, 0.7010], [0.4998, 0.4998, 0.2654], [0.5002, 0.5002, 0.7346], [0.1688, 0.8312, 0.5000], [0.8312, 0.1688, 0.5000], [0.2813, 0.2813, 0.0000], [0.7187, 0.7187, 0.0000]]}